Material: Li3Mn5O2F9
Method: DFT, PBE with a Hubbard U
State: optimized geometry

## Properties
**SG**: P1, No. 1
**Uncorrected energy**: -6.006 eV per atom
**Calculated volume**: 12.51 A^3/atom
**Spin magnetization**: 26.00 Bohr magnetons per cell

Unit cell a=6.556 b=7.068 c=10.729 alpha=78.36 beta=85.45 gamma=77.64
Fractional positions:
Li (0.000, 0.000, 0.000)
Li (0.019, 0.918, 0.458)
Li (0.415, 0.264, 0.917)
Li (0.496, 0.322, 0.505)
Li (0.663, 0.504, 0.720)
Li (0.795, 0.702, 0.202)
Mn (0.122, 0.634, 0.679)
Mn (0.210, 0.122, 0.236)
Mn (0.267, 0.048, 0.712)
Mn (0.341, 0.634, 0.249)
Mn (0.534, 0.816, 0.990)
Mn (0.539, 0.822, 0.453)
Mn (0.664, 0.255, 0.206)
Mn (0.779, 0.011, 0.729)
Mn (0.860, 0.495, 0.964)
Mn (0.943, 0.412, 0.459)
O (0.058, 0.937, 0.633)
O (0.273, 0.857, 0.353)
O (0.498, 0.022, 0.837)
O (0.611, 0.563, 0.122)
F (0.044, 0.547, 0.270)
F (0.165, 0.464, 0.870)
F (0.202, 0.366, 0.586)
F (0.245, 0.856, 0.076)
F (0.393, 0.289, 0.335)
F (0.428, 0.197, 0.097)
F (0.438, 0.646, 0.629)
F (0.539, 0.037, 0.566)
F (0.623, 0.533, 0.388)
F (0.639, 0.387, 0.888)
F (0.709, 0.937, 0.274)
F (0.741, 0.313, 0.614)
F (0.811, 0.679, 0.773)
F (0.852, 0.798, 0.011)
F (0.879, 0.693, 0.511)
F (0.922, 0.188, 0.357)
F (0.961, 0.215, 0.095)
F (0.999, 0.118, 0.835)